# HoTmH

An optimized crystal structure of HoTmH (PBE, the Alexandria database).

Energy above the lowest structure with this stoichiometry, meV/atom: 136
Calculated volume, A^3/atom: 21.883

Structure (extended XYZ):
```
3
Lattice="-1.6582 1.6582 5.9693 1.6582 -1.6582 5.9693 1.6582 1.6582 -5.9693" Properties=species:S:1:pos:R:3 pbc="T T T"
Ho 0.0000 0.0000 0.0000
Tm 0.0000 0.0000 3.4844
H 0.0000 0.0000 5.6745
```

# NdZnC

An optimized crystal structure of NdZnC (PBE, the Alexandria database).

Energy above the lowest structure with this stoichiometry, meV/atom: 352
ΔH_f (0 K), eV per atom: 0.125
Calculated volume, A^3/atom: 21.328

Structure (extended XYZ):
```
6
Lattice="-1.9142 1.9142 8.7316 1.9142 -1.9142 8.7316 1.9142 1.9142 -8.7316" Properties=species:S:1:pos:R:3 pbc="T T T"
Nd 0.0000 0.0000 3.1207
Nd 0.0000 0.0000 14.3426
Zn 0.0000 0.0000 7.5509
Zn 0.0000 0.0000 9.9124
C 0.0000 0.0000 5.5963
C 0.0000 0.0000 11.8669
```

# Pr4ZnSn3

An optimized crystal structure of Pr4ZnSn3 (PBE, the Alexandria database).

ΔH_f (0 K), eV per atom: -0.651
Calculated volume, A^3/atom: 30.165

Structure (extended XYZ):
```
8
Lattice="4.4317 0.0000 0.0000 0.0000 4.6220 0.0000 0.0000 0.0000 11.7810" Properties=species:S:1:pos:R:3 pbc="T T T"
Pr 0.0000 0.0000 0.0000
Pr 0.0000 2.3110 5.7698
Pr 2.2159 0.0000 8.4432
Pr 2.2159 2.3110 2.5784
Zn 0.0000 0.0000 3.2840
Sn 0.0000 2.3110 9.0349
Sn 2.2159 0.0000 5.0871
Sn 2.2159 2.3110 11.0980
```

# GaSbAs2Se

An optimized crystal structure of GaSbAs2Se (PBE, the Alexandria database).

Energy above the lowest structure with this stoichiometry, meV/atom: 171
Uncorrected formation energy, meV per atom: 681.4
Calculated volume, A^3/atom: 30.634

Structure (extended XYZ):
```
5
Lattice="5.3095 0.0000 0.0000 0.0000 5.3095 0.0000 0.0000 0.0000 5.4334" Properties=species:S:1:pos:R:3 pbc="T T T"
Ga 0.0000 0.0000 0.0000
Sb 2.6547 2.6547 2.7167
As 0.0000 2.6547 2.7167
As 2.6547 0.0000 2.7167
Se 2.6547 2.6547 0.0000
```

# CaGeAu

An optimized crystal structure of CaGeAu (PBE, the Alexandria database).

ΔH_f (0 K), eV per atom: -0.367
Calculated volume, A^3/atom: 22.657

Structure (extended XYZ):
```
3
Lattice="-1.9623 1.9623 4.4129 1.9623 -1.9623 4.4129 1.9623 1.9623 -4.4129" Properties=species:S:1:pos:R:3 pbc="T T T"
Ca 0.0000 0.0000 0.0000
Ge 0.0000 0.0000 2.9046
Au 0.0000 0.0000 5.7718
```

# AgPt2IBr

An optimized crystal structure of AgPt2IBr (PBE, the Alexandria database).

Uncorrected formation energy, meV per atom: 895.2
Calculated volume, A^3/atom: 27.963

Structure (extended XYZ):
```
5
Lattice="5.0315 0.0000 0.0000 0.0000 5.0315 0.0000 0.0000 0.0000 5.5228" Properties=species:S:1:pos:R:3 pbc="T T T"
Ag 0.0000 0.0000 0.0000
Pt 0.0000 2.5157 2.7614
Pt 2.5157 0.0000 2.7614
I 0.0000 0.0000 2.7614
Br 2.5157 2.5157 0.0000
```

# Hf4Ga2W

An optimized crystal structure of Hf4Ga2W (PBE, the Alexandria database).

ΔH_f (0 K), eV per atom: 0.056
Calculated volume, A^3/atom: 21.054

Structure (extended XYZ):
```
7
Lattice="2.3216 1.3404 7.8933 -2.3216 1.3404 7.8933 0.0000 -2.6808 7.8933" Properties=species:S:1:pos:R:3 pbc="T T T"
Hf 0.0000 0.0000 3.0155
Hf 0.0000 0.0000 6.5436
Hf 0.0000 0.0000 17.1364
Hf 0.0000 0.0000 20.6645
Ga 0.0000 0.0000 9.2538
Ga 0.0000 0.0000 14.4262
W 0.0000 0.0000 11.8400
```

# MgSiO3

An optimized crystal structure of MgSiO3 (PBE, the Alexandria database).

Uncorrected formation energy, meV per atom: -2811.1
Calculated volume, A^3/atom: 11.155

Structure (extended XYZ):
```
40
Lattice="9.3681 0.0000 0.0000 0.0000 8.8571 0.0000 0.0000 0.0000 5.3776" Properties=species:S:1:pos:R:3 pbc="T T T"
Mg 0.0000 0.8708 1.3444
Mg 0.0000 2.3207 4.0332
Mg 0.0000 6.5364 1.3444
Mg 0.0000 7.9863 4.0332
Mg 4.6841 2.1078 1.3444
Mg 4.6841 3.5578 4.0332
Mg 4.6841 5.2993 1.3444
Mg 4.6841 6.7492 4.0332
Si 1.9489 3.6256 0.3431
Si 1.9489 5.2315 3.0319
Si 2.7352 0.8030 3.0319
Si 2.7352 8.0541 0.3431
Si 6.6329 0.8030 5.0346
Si 6.6329 8.0541 2.3457
Si 7.4193 3.6256 2.3457
Si 7.4193 5.2315 5.0346
O 1.1054 0.8316 3.1028
O 1.1054 8.0255 0.4140
O 1.1404 2.2370 0.3667
O 1.1404 6.6201 3.0555
O 1.4205 4.2005 4.2291
O 1.4205 4.6566 1.5403
O 3.2636 0.2281 1.5403
O 3.2636 8.6290 4.2291
O 3.5437 2.1916 3.0555
O 3.5437 6.6655 0.3667
O 3.5787 3.5970 0.4140
O 3.5787 5.2601 3.1028
O 5.7895 3.5970 2.2748
O 5.7895 5.2601 4.9636
O 5.8245 2.1916 5.0110
O 5.8245 6.6655 2.3222
O 6.1046 0.2281 1.1485
O 6.1046 8.6290 3.8373
O 7.9476 4.2005 3.8373
O 7.9476 4.6566 1.1485
O 8.2277 2.2370 2.3222
O 8.2277 6.6201 5.0110
O 8.2627 0.8316 4.9636
O 8.2627 8.0255 2.2748
```